# CaY3Os, optimized geometry, DFT GGA-PBEsol
data_CaY3Os
_cell_length_a 5.0109
_cell_length_b 5.0109
_cell_length_c 5.0109
_cell_angle_alpha 90.00
_cell_angle_beta 90.00
_cell_angle_gamma 90.00
_symmetry_space_group_name_H-M 'P m -3 m'
_symmetry_Int_Tables_number 221
_symmetry_space_group_name_Hall '-P 4 2 3'
loop_
_atom_site_label
_atom_site_fract_x
_atom_site_fract_y
_atom_site_fract_z
Ca1 0.0000 0.0000 0.0000
Y1 0.0000 0.0000 0.5000
Os1 0.5000 0.5000 0.5000
# E_form   1.81 eV per atom
# Spin magnetization   0.60 Bohr magnetons per cell

---

# CaY2Os, optimized geometry, DFT GGA-PBEsol
data_CaY2Os
_cell_length_a 3.6362
_cell_length_b 3.7989
_cell_length_c 7.8162
_cell_angle_alpha 90.00
_cell_angle_beta 90.00
_cell_angle_gamma 90.00
_symmetry_space_group_name_H-M 'P m m 2'
_symmetry_Int_Tables_number 25
loop_
_symmetry_equiv_pos_as_xyz
'x,y,z'
'-x,-y,z'
'-x,y,z'
'x,-y,z'
loop_
_atom_site_label
_atom_site_fract_x
_atom_site_fract_y
_atom_site_fract_z
Ca1 0.0000 0.0000 0.0000
Y1 0.0000 0.0000 0.3907
Y2 0.5000 0.5000 0.6466
Os1 0.5000 0.5000 0.2660
# Energy above the most stable polymorph in this dataset   329 meV/atom
# E_form   0.21 eV per atom
# Spin magnetization   0.00 Bohr magnetons per cell